Entry 1:
A plane-wave DFT calculation with meta-GGA SCAN was carried out for a crystal of SrLiLa2 relaxed with PBEsol.

Values from the calculation:
relative energy among the computed polymorphs: 0 meV/atom
calculated formation energy: 0.07 eV per atom

Cell lengths 3.7286, 3.7286, 9.9581 Å; angles 90.00, 90.00, 90.00 degrees
Fractional coordinates of all 4 atoms:
Sr: 0.0000 0.0000 0.0000
Li: 0.5000 0.5000 0.7596
La: 0.0000 0.0000 0.5468
La: 0.5000 0.5000 0.3049

Entry 2:
A plane-wave DFT calculation with meta-GGA SCAN was carried out for a crystal of MnC3 relaxed with PBEsol.

Values from the calculation:
relative energy among the computed polymorphs: 0 meV/atom
calculated formation energy: 1.99 eV per atom

Cell lengths 2.9364, 2.9364, 3.7631 Å; angles 90.00, 90.00, 90.00 degrees
Fractional coordinates of all 4 atoms:
Mn: 0.0000 0.0000 0.0000
C: 0.0000 0.0000 0.5000
C: 0.5000 0.5000 0.1785
C: 0.5000 0.5000 0.8215

Entry 3:
A plane-wave DFT calculation with meta-GGA SCAN was carried out for a crystal of Co4AsBr relaxed with PBEsol.

Values from the calculation:
E_form (uncorrected): 0.76 eV/atom

Cell lengths 4.8409, 4.8409, 4.8409 Å; angles 60.00, 60.00, 60.00 degrees
Fractional coordinates of all 6 atoms:
Co: 0.3759 0.3759 0.3759
Co: 0.3759 0.3759 0.8722
Co: 0.3759 0.8722 0.3759
Co: 0.8722 0.3759 0.3759
As: 0.7500 0.7500 0.7500
Br: 0.0000 0.0000 0.0000

Entry 4:
A plane-wave DFT calculation with meta-GGA SCAN was carried out for a crystal of ReNiSe4 relaxed with PBEsol.

Values from the calculation:
E_form (uncorrected): 1.71 eV/atom

Cell lengths 5.3699, 5.3699, 5.3699 Å; angles 60.00, 60.00, 60.00 degrees
Fractional coordinates of all 6 atoms:
Re: 0.0000 0.0000 0.0000
Ni: 0.7500 0.7500 0.7500
Se: 0.3750 0.3750 0.3750
Se: 0.3750 0.3750 0.8751
Se: 0.3750 0.8751 0.3750
Se: 0.8751 0.3750 0.3750

Values for E_tot, eV/atom, ordered as above
-27.649, -10.151, -17.380, -26.217